# GGA-PBE TmLuCdIn, optimized geometry
# Total moment in μB/f.u.: 0.12
# Energy relative to the elements in meV per atom: -365
# Crystal system: cubic
# Mass density in Mg/m³: 9.44
data_TmLuCdIn
_cell_length_a 5.2184
_cell_length_b 5.2184
_cell_length_c 5.2184
_cell_angle_alpha 60.00
_cell_angle_beta 60.00
_cell_angle_gamma 60.00
_space_group_name_H-M_alt 'P 1'
_space_group_IT_number 1
loop_
_space_group_symop_operation_xyz
'x,y,z'
loop_
_atom_site_label
_atom_site_type_symbol
_atom_site_fract_x
_atom_site_fract_y
_atom_site_fract_z
_atom_site_occupancy
Tm1 Tm 0.0000 0.0000 0.0000 1
Lu1 Lu 0.5000 0.5000 0.5000 1
Cd1 Cd 0.7500 0.7500 0.7500 1
In1 In 0.2500 0.2500 0.2500 1